# Li5Mn2CoO8 | Alexandria | PBE+U | relaxed
data_Li5Mn2CoO8
_chemical_formula_sum 'Li10 Mn4 Co2 O16'
_space_group_name_H-M_alt 'P -1'
_space_group_IT_number 2
_cell_length_a 2.8800
_cell_length_b 5.0718
_cell_length_c 19.1155
_cell_angle_alpha 85.67
_cell_angle_beta 89.90
_cell_angle_gamma 89.98
loop_
_space_group_symop_operation_xyz
'x,y,z'
'-x,-y,-z'
loop_
_atom_site_label
_atom_site_fract_x
_atom_site_fract_y
_atom_site_fract_z
Li1 0.0000 0.0000 0.0000
Li2 0.0000 0.5000 0.5000
Li3 0.0030 0.2630 0.2512
Li4 0.4944 0.8718 0.8690
Li5 0.4970 0.2395 0.7482
Li6 0.4983 0.6097 0.6277
Mn1 0.0016 0.8761 0.3735
Mn2 0.0037 0.6519 0.1292
Co1 0.5000 0.0000 0.5000
Co2 0.5000 0.5000 0.0000
O1 0.0005 0.3563 0.0585
O2 0.0006 0.1598 0.4434
O3 0.0023 0.5916 0.3206
O4 0.0045 0.9303 0.1838
O5 0.4941 0.1919 0.9314
O6 0.4963 0.5308 0.8198
O7 0.4979 0.9458 0.6780
O8 0.4991 0.2773 0.5642
# Relative energy among the computed polymorphs: 26 meV per atom